(1)
Compound: Ga2Pd7Rh
Source: Alexandria
Functional: PBE
Structure: optimized geometry

The space group is Cmmm (No. 65) and the conventional cell measures 8.331, 15.006 and 2.753 Å, with angles of 90.00, 90.00 and 90.00 degrees. The distinct sites, in fractional coordinates, are Ga at (0.000, 0.170, 0.000), Pd at (0.000, 0.000, 0.000), Pd at (0.000, 0.307, 0.500), Pd at (0.228, 0.404, 0.000) and Rh at (0.000, 0.500, 0.500).

The value obtained for the calculated formation energy is -1.5 kJ per mole of atoms. As for the calculated density: 9.5 g/cm3.


(2)
Compound: GaPdRh3
Source: Alexandria
Functional: PBE
Structure: optimized geometry

The space group is Pm-3m (No. 221) and the conventional cell measures 4.513, 4.513 and 4.513 Å, with angles of 90.00, 90.00 and 90.00 degrees. The distinct sites, in fractional coordinates, are Ga at (0.000, 0.000, 0.000), Pd at (0.500, 0.500, 0.500) and Rh at (0.000, 0.000, 0.500).

The value obtained for the calculated formation energy is 83.1 kJ per mole of atoms. As for the calculated density: 8.8 g/cm3.


(3)
Compound: Ga2PdRh3
Source: Alexandria
Functional: PBE
Structure: optimized geometry

The space group is Pmc2_1 (No. 26) and the conventional cell measures 4.168, 7.733 and 5.349 Å, with angles of 90.00, 90.00 and 90.00 degrees. The distinct sites, in fractional coordinates, are Ga at (0.000, 0.147, 0.000), Ga at (0.500, 0.346, 0.607), Pd at (0.000, 0.470, 0.836), Rh at (0.000, 0.180, 0.477), Rh at (0.500, 0.028, 0.773) and Rh at (0.500, 0.318, 0.127).

The value obtained for the calculated formation energy is -47.8 kJ per mole of atoms. As for the calculated density: 10.7 g/cm3.


(4)
Compound: Ga4PdRh5
Source: Alexandria
Functional: PBE
Structure: optimized geometry

The space group is P4/mmm (No. 123) and the conventional cell measures 3.010, 3.010 and 15.695 Å, with angles of 90.00, 90.00 and 90.00 degrees. The distinct sites, in fractional coordinates, are Ga at (0.000, 0.000, 0.098), Ga at (0.000, 0.000, 0.296), Pd at (0.000, 0.000, 0.500), Rh at (0.500, 0.500, 0.000), Rh at (0.500, 0.500, 0.192) and Rh at (0.500, 0.500, 0.383).

The value obtained for the calculated formation energy is -52.0 kJ per mole of atoms. As for the calculated density: 10.5 g/cm3.


(5)
Compound: GaPdRh2
Source: Alexandria
Functional: PBE
Structure: optimized geometry

The space group is P4/mmm (No. 123) and the conventional cell measures 4.012, 4.012 and 3.601 Å, with angles of 90.00, 90.00 and 90.00 degrees. The distinct sites, in fractional coordinates, are Ga at (0.000, 0.000, 0.000), Pd at (0.500, 0.500, 0.000) and Rh at (0.000, 0.500, 0.500).

The value obtained for the calculated formation energy is -27.9 kJ per mole of atoms. As for the calculated density: 10.9 g/cm3.


(6)
Compound: Ga3PdRh
Source: Alexandria
Functional: PBE
Structure: optimized geometry

The space group is C2/c (No. 15) and the conventional cell measures 11.524, 9.951 and 6.122 Å, with angles of 90.00, 101.77 and 90.00 degrees. The distinct sites, in fractional coordinates, are Ga at (0.069, 0.195, 0.480), Ga at (0.149, 0.475, 0.582), Ga at (0.166, 0.090, 0.100), Pd at (0.124, 0.305, 0.877), Rh at (0.000, 0.031, 0.750) and Rh at (0.000, 0.397, 0.250).

The value obtained for the calculated formation energy is -37.6 kJ per mole of atoms. As for the calculated density: 8.1 g/cm3.


(7)
Compound: Ga2PdRuRh
Source: Alexandria
Functional: PBE
Structure: optimized geometry

The space group is P4/mmm (No. 123) and the conventional cell measures 4.677, 4.677 and 4.665 Å, with angles of 90.00, 90.00 and 90.00 degrees. The distinct sites, in fractional coordinates, are Ga at (0.000, 0.500, 0.000), Pd at (0.000, 0.000, 0.500), Ru at (0.500, 0.500, 0.000) and Rh at (0.500, 0.500, 0.500).

The value obtained for the calculated formation energy is 56.9 kJ per mole of atoms. As for the calculated density: 7.3 g/cm3.


(8)
Compound: GaPdRuRh
Source: Alexandria
Functional: PBE
Structure: optimized geometry

The space group is F-43m (No. 216) and the conventional cell measures 6.195, 6.195 and 6.195 Å, with angles of 90.00, 90.00 and 90.00 degrees. The distinct sites, in fractional coordinates, are Ga at (0.000, 0.000, 0.000), Pd at (0.250, 0.250, 0.750), Ru at (0.000, 0.000, 0.500) and Rh at (0.250, 0.250, 0.250).

The value obtained for the calculated formation energy is -1.8 kJ per mole of atoms. As for the calculated density: 10.6 g/cm3.